[1]
Below is Tb2PrHg8 after structural relaxation, with properties calculated at the PBE level.

Calculated values
ΔH_f (0 K) ... -335 meV per atom
Offset from the most stable computed form ... 0.000 eV/atom

Cell lengths 16.1496, 4.9932, 7.3107 Å; angles 90.00, 109.48, 90.00 degrees
With the nearest neighbours (Å) after each atom.
Space group C2/m (No. 12)
Unique sites:
Tb  0.2130  0.0000  0.1528 x4  10 Hg 3.12-3.44
Pr  0.0000  0.5000  0.5000 x2  12 Hg 3.16-3.44
Hg  0.0290  0.0000  0.2273 x4  7 Hg 3.14-3.40, 1 Tb 3.20, 2 Pr 3.32
Hg  0.0972  0.5000  0.9639 x4  4 Hg 3.05-3.35, 2 Tb 3.15, 1 Pr 3.23
Hg  0.1508  0.0000  0.6888 x4  5 Hg 3.08-3.36, 3 Tb 3.20-3.27, 2 Pr 3.44
Hg  0.1771  0.5000  0.4055 x4  8 Hg 3.05-3.40, 3 Tb 3.12-3.27, 1 Pr 3.16

[2]
Below is Tb2PrHg2 after structural relaxation, with properties calculated at the PBE level.

Calculated values
ΔH_f (0 K) ... -229 meV per atom
Offset from the most stable computed form ... 0.151 eV/atom

Cell lengths 5.2692, 5.2692, 6.3884 Å; angles 90.00, 90.00, 120.00 degrees
With the nearest neighbours (Å) after each atom.
Space group P-3m1 (No. 164)
Unique sites:
Tb  0.3333  0.6667  0.1586 x2  5 Hg 3.07-3.32
Pr  0.0000  0.0000  0.5000 x1  6 Hg 3.25
Hg  0.3333  0.6667  0.6787 x2  5 Tb 3.07-3.32, 3 Pr 3.25

[3]
Below is Tb3Pr2Hg4 after structural relaxation, with properties calculated at the PBE level.

Calculated values
ΔH_f (0 K) ... -352 meV per atom

Cell lengths 7.0544, 17.9345, 8.2808 Å; angles 90.00, 90.00, 90.00 degrees
With the nearest neighbours (Å) after each atom.
Space group Cmce (No. 64)
Unique sites:
Tb  0.0000  0.0000  0.0000 x4  6 Hg 2.96-3.03
Tb  0.2500  0.2392  0.2500 x8  5 Hg 3.04-3.16
Pr  0.0000  0.0952  0.5892 x8  5 Hg 3.36-3.63, 2 Tb 3.70, 1 Pr 3.72
Hg  0.0000  0.1687  0.9728 x8  5 Tb 3.03-3.16
Hg  0.2500  0.0655  0.2500 x8  3 Tb 2.96-3.11

[4]
Below is TbPr5Hg6 after structural relaxation, with properties calculated at the PBE level.

Calculated values
ΔH_f (0 K) ... -471 meV per atom

Cell lengths 5.4187, 16.3039, 7.7159 Å; angles 90.00, 90.00, 90.00 degrees
With the nearest neighbours (Å) after each atom.
Space group Cmmm (No. 65)
Unique sites:
Tb  0.0000  0.0000  0.0000 x2  8 Hg 3.26-3.29
Pr  0.0000  0.0000  0.5000 x2  8 Hg 3.30-3.36
Pr  0.0000  0.3314  0.5000 x4  8 Hg 3.35-3.40
Pr  0.0000  0.3332  0.0000 x4  8 Hg 3.30-3.36
Hg  0.0000  0.1625  0.2451 x8  1 Tb 3.26, 7 Pr 3.30-3.38
Hg  0.0000  0.5000  0.2414 x4  2 Tb 3.29, 6 Pr 3.30-3.40

[5]
Below is Tb6PrHg after structural relaxation, with properties calculated at the PBE level.

Calculated values
ΔH_f (0 K) ... -9 meV per atom

Cell lengths 9.3679, 9.3679, 9.9827 Å; angles 90.00, 90.00, 120.00 degrees
With the nearest neighbours (Å) after each atom.
Space group R-3 (No. 148, hexagonal axes)
Unique sites:
Tb  0.0267  0.2535  0.2123 x18  1 Hg 3.10, 2 Tb 3.27-3.32
Pr  0.0000  0.0000  0.5000 x3  12 Tb 3.51-3.65
Hg  0.0000  0.0000  0.0000 x3  6 Tb 3.10

[6]
Below is TbPr6Hg after structural relaxation, with properties calculated at the PBE level.

Calculated values
ΔH_f (0 K) ... 331 meV per atom

Cell lengths 6.6719, 6.6742, 9.0656 Å; angles 90.30, 111.38, 119.73 degrees
With the nearest neighbours (Å) after each atom.
Space group P-1 (No. 2)
Unique sites:
Tb  0.0000  0.0000  0.0000 x1  6 Pr 3.15-3.16
Pr  0.1526  0.4682  0.2169 x2  1 Hg 3.13, 1 Tb 3.16
Pr  0.2455  0.3132  0.7823 x2  1 Hg 3.13, 1 Tb 3.15
Pr  0.4655  0.9289  0.7839 x2  1 Hg 3.12, 1 Tb 3.16
Hg  0.0000  0.5000  0.5000 x1  6 Pr 3.12-3.13

[7]
Below is TbPr6Hg2 after structural relaxation, with properties calculated at the PBE level.

Calculated values
ΔH_f (0 K) ... -213 meV per atom

Cell lengths 13.0884, 3.8230, 12.3544 Å; angles 90.00, 108.79, 90.00 degrees
With the nearest neighbours (Å) after each atom.
Space group C2/m (No. 12)
Unique sites:
Tb  0.0000  0.0000  0.0000 x2  4 Hg 3.12
Pr  0.0237  0.0000  0.3357 x4  2 Hg 3.28, 3 Pr 3.56-3.66
Pr  0.1854  0.5000  0.8760 x4  2 Hg 3.31, 5 Pr 3.54-3.66
Pr  0.1904  0.5000  0.5915 x4  2 Hg 3.47, 10 Pr 3.54-3.82
Hg  0.1373  0.5000  0.1915 x4  2 Tb 3.12, 6 Pr 3.28-3.47

[8]
Below is Tb3PrHg4 after structural relaxation, with properties calculated at the PBE level.

Calculated values
ΔH_f (0 K) ... -473 meV per atom

Cell lengths 5.3014, 5.3014, 7.6257 Å; angles 90.00, 90.00, 90.00 degrees
With the nearest neighbours (Å) after each atom.
Space group P4/mmm (No. 123)
Unique sites:
Tb  0.0000  0.0000  0.0000 x1  8 Hg 3.22
Tb  0.0000  0.0000  0.5000 x1  8 Hg 3.31
Tb  0.5000  0.5000  0.0000 x1  8 Hg 3.22
Pr  0.5000  0.5000  0.5000 x1  8 Hg 3.31
Hg  0.0000  0.5000  0.2392 x4  6 Tb 3.22-3.31, 2 Pr 3.31